Density functional theory data (PBE) for a relaxed structure of NaTbHg3Te4. Values from VASP.

```
&SYSTEM
  ibrav = 0, nat = 18, ntyp = 4
/
ATOMIC_SPECIES
Na 22.99 Na.upf
Tb 158.93 Tb.upf
Hg 200.59 Hg.upf
Te 127.60 Te.upf
CELL_PARAMETERS angstrom
7.323 0.000 0.000
0.000 8.075 0.000
-2.774 0.000 10.578
ATOMIC_POSITIONS crystal
Na 0.190 0.250 0.100
Na 0.810 0.750 0.900
Tb 0.479 0.250 0.690
Tb 0.521 0.750 0.310
Hg 0.015 0.750 0.264
Hg 0.218 0.567 0.492
Hg 0.218 0.933 0.492
Hg 0.782 0.067 0.508
Hg 0.782 0.433 0.508
Hg 0.985 0.250 0.736
Te 0.212 0.750 0.074
Te 0.248 0.523 0.756
Te 0.248 0.977 0.756
Te 0.336 0.250 0.396
Te 0.664 0.750 0.604
Te 0.752 0.023 0.244
Te 0.752 0.477 0.244
Te 0.788 0.250 0.926
```

Properties
ρ ... 6871 kg/m3
Distance to the lowest polymorph of the same formula ... 6.0 meV/atom
V ... 34.750 A^3/atom